The following is a PBE+U calculation of crystalline AcCoS2O8 at its relaxed geometry, from Alexandria.

Energy: -6.5185 eV per atom
Mass density: 4.60 Mg/m³
Space group: P-3m1 (164)
Spin magnetization: 2.0 μB per formula unit

extended XYZ file:
```
12
Lattice="5.258 0.000 0.000 -2.629 4.554 0.000 0.000 0.000 7.212" Properties=species:S:1:pos:R:3 pbc="T T T"
Ac 0.000 0.000 0.000
Co 0.000 0.000 3.606
S 0.000 3.036 1.633
S 2.629 1.518 5.579
O 0.000 1.619 2.079
O -1.227 3.744 2.079
O 0.000 3.036 0.118
O 1.402 0.810 5.133
O 1.227 3.744 2.079
O 2.629 1.518 7.094
O 3.856 0.810 5.133
O 2.629 2.934 5.133
```